# 1
The following is a DFT calculation (GGA+U) of a relaxed structure of ZnFe2O4.

calculated volume	148.8	Å³ per cell
polymorph energy (0 for the lowest one)	153	meV per atom
space-group type	No. 74

Cell and atoms, written as extended XYZ:
```
14
Lattice="-2.951 2.982 4.228 2.951 -2.982 4.228 2.951 2.982 -4.228" Properties=species:S:1:pos:R:3 pbc="T T T"
Zn -1.476 1.491 2.114
Zn 1.476 1.491 2.114
Fe 0.000 0.000 0.000
Fe 2.951 1.491 -1.130
Fe 0.000 2.982 0.000
Fe 0.000 1.491 5.357
O 0.000 0.034 1.961
O 1.340 1.491 -0.019
O 1.612 -1.491 4.209
O 2.951 0.034 2.267
O 0.000 2.947 1.961
O 1.340 4.472 0.019
O 1.612 1.491 4.247
O 2.951 2.947 2.267
```

# 2
The following is a DFT calculation (GGA+U) of a relaxed structure of NiPbNF2.

calculated volume	83.2	Å³ per cell
polymorph energy (0 for the lowest one)	742	meV per atom
space-group type	No. 123

Cell and atoms, written as extended XYZ:
```
5
Lattice="4.477 0.000 0.000 0.000 4.477 0.000 0.000 0.000 4.150" Properties=species:S:1:pos:R:3 pbc="T T T"
Ni 0.000 0.000 0.000
Pb 2.238 2.238 2.075
N 2.238 2.238 0.000
F 0.000 2.238 2.075
F 2.238 0.000 2.075
```

Which of these has the highest calculated volume?
ZnFe2O4

What is the formula in the first record?
ZnFe2O4